MnZn3Au4 | PBE-GGA | relaxed

Cell lengths 4.5616, 4.5606, 9.5664 Å; angles 135.84, 103.79, 90.00 degrees
Closest atoms and distances in Å follow each position.
Element x y z (fractional)
Au 0.6254 0.8774 0.2509  6 Zn 2.75-2.78, 2 Mn 2.77
Au 0.1254 0.3761 0.2508  6 Zn 2.75-2.78, 2 Mn 2.77
Au 0.3746 0.1226 0.7491  6 Zn 2.75-2.78, 2 Mn 2.77
Au 0.8746 0.6239 0.7492  6 Zn 2.75-2.78, 2 Mn 2.77
Zn 0.7483 0.7463 0.4966  8 Au 2.75-2.78
Zn 0.2517 0.2537 0.5034  8 Au 2.75-2.78
Zn 0.0000 0.5000 0.0000  8 Au 2.76-2.77
Mn 0.5000 0.0000 0.0000  8 Au 2.77

Output
Excess energy over the best structure of this formula in the dataset = 0.0000 eV/atom
SG = C2/m (12)
DFT formation energy = -176 meV per atom
Final energy = -3.438 eV per atom